Material: ThAl
Method: DFT, PBE
State: optimized geometry

The space group is P6_3/mmc (No. 194) and the conventional cell measures 5.2881, 5.2881 and 5.9889 Å, with angles of 90.00, 90.00 and 120.00 degrees. The asymmetric unit holds Th at (0.3333, 0.6667, 0.2500) and Al at (0.3333, 0.6667, 0.7500).

As for the crystal system: hexagonal. As for the total energy: -4.911 eV/atom.

---

Material: Np2Ga3Cu
Method: DFT, PBE
State: optimized geometry

The space group is P6_3/mmc (No. 194) and the conventional cell measures 5.5747, 5.5747 and 8.0893 Å, with angles of 90.00, 90.00 and 120.00 degrees. The asymmetric unit holds Np at (0.3333, 0.6667, 0.0904), Ga at (0.1691, 0.3382, 0.7500) and Cu at (0.0000, 0.0000, 0.0000).

As for the crystal system: hexagonal. As for the total energy: -6.610 eV/atom.

---

Material: ZnBr2
Method: DFT, PBE
State: optimized geometry

The space group is Cmcm (No. 63) and the conventional cell measures 3.842, 6.515 and 13.775 Å, with angles of 90.00, 90.00 and 90.00 degrees. The asymmetric unit holds Zn at (0.000, 0.000, 0.000) and Br at (0.000, 0.324, 0.108).

As for the crystal system: orthorhombic. As for the total energy: -2.332 eV/atom.

---

Material: Er3ReTe5
Method: DFT, PBE
State: optimized geometry

The space group is P-62m (No. 189) and the conventional cell measures 8.3642, 8.3642 and 4.3161 Å, with angles of 90.00, 90.00 and 120.00 degrees. The asymmetric unit holds Er at (0.0000, 0.2590, 0.0000), Re at (0.0000, 0.0000, 0.5000), Te at (0.0000, 0.6863, 0.5000) and Te at (0.3333, 0.6667, 0.0000).

As for the crystal system: hexagonal. As for the total energy: -5.284 eV/atom.

---

Material: Sm3Nb2Re3N12
Method: DFT, PBE
State: optimized geometry

The space group is Ia-3d (No. 230) and the conventional cell measures 12.902, 12.902 and 12.902 Å, with angles of 90.00, 90.00 and 90.00 degrees. The asymmetric unit holds Sm at (0.000, 0.250, 0.125), Nb at (0.000, 0.000, 0.000), Re at (0.000, 0.250, 0.375) and N at (0.035, 0.052, 0.652).

As for the crystal system: cubic. As for the total energy: -9.293 eV/atom.

---

Material: ErHfInC
Method: DFT, PBE
State: optimized geometry

The space group is P6_3mc (No. 186) and the conventional cell measures 3.4219, 3.4219 and 15.5411 Å, with angles of 90.00, 90.00 and 120.00 degrees. The asymmetric unit holds Er at (0.3333, 0.6667, 0.0000), Hf at (0.3333, 0.6667, 0.6662), In at (0.3333, 0.6667, 0.3293) and C at (0.0000, 0.0000, 0.0954).

As for the crystal system: hexagonal. As for the total energy: -7.177 eV/atom.

---

Material: Nb2FeNi
Method: DFT, PBE
State: optimized geometry

The space group is F-43m (No. 216) and the conventional cell measures 6.101, 6.101 and 6.101 Å, with angles of 90.00, 90.00 and 90.00 degrees. The asymmetric unit holds Nb at (0.000, 0.000, 0.000), Nb at (0.250, 0.250, 0.250), Fe at (0.250, 0.250, 0.750) and Ni at (0.000, 0.000, 0.500).

The value obtained for the formation energy is 11 kJ per mole of atoms. As for the crystal system: cubic.

---

Material: Lu3Co
Method: DFT, PBE
State: optimized geometry

The space group is Pnma (No. 62) and the conventional cell measures 6.763, 9.238 and 6.001 Å, with angles of 90.00, 90.00 and 90.00 degrees. The asymmetric unit holds Lu at (0.040, 0.250, 0.133), Lu at (0.177, 0.065, 0.677) and Co at (0.112, 0.750, 0.451).

The value obtained for the formation energy is -20 kJ per mole of atoms. As for the crystal system: orthorhombic.